Ta4Tc2Os | PBE | relaxed

## Properties
Calculated formation energy (eV per atom): -0.139
Electronic total energy (eV per atom): -11.478
Symmetry: I4/mmm

a = 5.456 Å, b = 5.456 Å, c = 5.456 Å
α = 109.68°, β = 109.68°, γ = 109.05°
Atoms (fractional coordinates):
Ta 0.000 0.000 0.500
Ta 0.000 0.500 0.000
Ta 0.500 0.000 0.000
Ta 0.500 0.500 0.500
Tc 0.000 0.500 0.500
Tc 0.500 0.000 0.500
Os 0.000 0.000 0.000


TaTcOs | PBE | relaxed

## Properties
Energy above the lowest structure with this stoichiometry (kJ/mol of atoms): 10.55
Calculated formation energy (eV per atom): 0.025
Electronic total energy (eV per atom): -11.124
Symmetry: P3m1

a = 4.426 Å, b = 4.426 Å, c = 2.781 Å
α = 90.00°, β = 90.00°, γ = 120.00°
Atoms (fractional coordinates):
Ta 0.000 0.000 0.000
Tc 0.667 0.333 0.282
Os 0.333 0.667 0.696


TaTcOs2 | PBE | relaxed

## Properties
Energy above the lowest structure with this stoichiometry (kJ/mol of atoms): 4.01
Calculated formation energy (eV per atom): -0.059
Electronic total energy (eV per atom): -11.228
Symmetry: Pmmm

a = 2.812 Å, b = 3.879 Å, c = 5.624 Å
α = 90.00°, β = 90.00°, γ = 90.00°
Atoms (fractional coordinates):
Ta 0.000 0.000 0.000
Tc 0.000 0.000 0.500
Os 0.500 0.500 0.264
Os 0.500 0.500 0.736


TaTcOs2 | PBE | relaxed

## Properties
Energy above the lowest structure with this stoichiometry (kJ/mol of atoms): 136.11
Calculated formation energy (eV per atom): 1.310
Electronic total energy (eV per atom): -9.859
Symmetry: I-42d

a = 7.142 Å, b = 7.142 Å, c = 7.142 Å
α = 134.26°, β = 134.26°, γ = 66.69°
Atoms (fractional coordinates):
Ta 0.000 0.000 0.000
Ta 0.750 0.250 0.500
Tc 0.250 0.750 0.500
Tc 0.500 0.500 0.000
Os 0.147 0.625 0.022
Os 0.375 0.397 0.522
Os 0.603 0.125 0.978
Os 0.875 0.853 0.478


TaTcOs2 | PBE | relaxed

## Properties
Energy above the lowest structure with this stoichiometry (kJ/mol of atoms): 19.53
Calculated formation energy (eV per atom): 0.102
Electronic total energy (eV per atom): -11.067
Symmetry: Immm

a = 5.243 Å, b = 5.243 Å, c = 5.243 Å
α = 145.53°, β = 129.71°, γ = 62.40°
Atoms (fractional coordinates):
Ta 0.000 0.000 0.000
Tc 0.500 0.500 0.000
Os 0.234 0.734 0.500
Os 0.766 0.266 0.500


TaTc4Os | PBE | relaxed

## Properties
Calculated formation energy (eV per atom): 0.137
Electronic total energy (eV per atom): -10.621
Symmetry: F-43m

a = 5.086 Å, b = 5.086 Å, c = 5.086 Å
α = 60.00°, β = 60.00°, γ = 60.00°
Atoms (fractional coordinates):
Ta 0.000 0.000 0.000
Tc 0.125 0.625 0.625
Tc 0.625 0.125 0.625
Tc 0.625 0.625 0.125
Tc 0.625 0.625 0.625
Os 0.250 0.250 0.250


Copy entry 1 word for word.
Ta4Tc2Os | PBE | relaxed

## Properties
Calculated formation energy (eV per atom): -0.139
Electronic total energy (eV per atom): -11.478
Symmetry: I4/mmm

a = 5.456 Å, b = 5.456 Å, c = 5.456 Å
α = 109.68°, β = 109.68°, γ = 109.05°
Atoms (fractional coordinates):
Ta 0.000 0.000 0.500
Ta 0.000 0.500 0.000
Ta 0.500 0.000 0.000
Ta 0.500 0.500 0.500
Tc 0.000 0.500 0.500
Tc 0.500 0.000 0.500
Os 0.000 0.000 0.000


- Among the records above, which one has the lowest electronic total energy?
  Ta4Tc2Os


- Look up the calculated formation energy of the third one.
  -0.059 eV per atom


What did the third record say?
TaTcOs2 | PBE | relaxed

## Properties
Energy above the lowest structure with this stoichiometry (kJ/mol of atoms): 4.01
Calculated formation energy (eV per atom): -0.059
Electronic total energy (eV per atom): -11.228
Symmetry: Pmmm

a = 2.812 Å, b = 3.879 Å, c = 5.624 Å
α = 90.00°, β = 90.00°, γ = 90.00°
Atoms (fractional coordinates):
Ta 0.000 0.000 0.000
Tc 0.000 0.000 0.500
Os 0.500 0.500 0.264
Os 0.500 0.500 0.736